# 1
Here is PaCd2 after structural relaxation from the Alexandria database. Energies are from PBE.

Output
N(E_F) ... 13.5 states/eV per cell
Calculated volume ... 144.03 Å³ per cell
ΔH_f (0 K) ... 0.550 eV/f.u.
Uncorrected energy ... -3.59 eV/atom
Offset from the most stable computed form ... 108 meV per atom
Crystal system ... cubic
M_tot ... 1.774 μB per formula unit

CIF file:
```
data_PaCd2
_chemical_formula_sum 'Pa2 Cd4'
_cell_length_a 5.884
_cell_length_b 5.884
_cell_length_c 5.884
_cell_angle_alpha 60.00
_cell_angle_beta 60.00
_cell_angle_gamma 60.00
_symmetry_space_group_name_H-M 'P 1'
_symmetry_Int_Tables_number 1
_symmetry_space_group_name_Hall 'P 1'
loop_
_atom_site_label
_atom_site_fract_x
_atom_site_fract_y
_atom_site_fract_z
Pa1 0.000 0.000 0.000
Pa2 0.250 0.250 0.250
Cd1 0.125 0.625 0.625
Cd2 0.625 0.125 0.625
Cd3 0.625 0.625 0.625
Cd4 0.625 0.625 0.125
```

***

# 2
Here is Sr2TlCd4 after structural relaxation from the Alexandria database. Energies are from PBE.

Output
N(E_F) ... 7.1 states/eV per cell
Calculated volume ... 415.64 Å³ per cell
ΔH_f (0 K) ... -1.938 eV/f.u.
Uncorrected energy ... -1.62 eV/atom
Offset from the most stable computed form ... 0 meV per atom
Crystal system ... monoclinic
M_tot ... 0.000 μB per formula unit

CIF file:
```
data_Sr2TlCd4
_chemical_formula_sum 'Sr4 Tl2 Cd8'
_cell_length_a 6.691
_cell_length_b 6.590
_cell_length_c 9.715
_cell_angle_alpha 90.00
_cell_angle_beta 104.00
_cell_angle_gamma 90.00
_symmetry_space_group_name_H-M 'P 1'
_symmetry_Int_Tables_number 1
_symmetry_space_group_name_Hall 'P 1'
loop_
_atom_site_label
_atom_site_fract_x
_atom_site_fract_y
_atom_site_fract_z
Sr1 0.274 0.250 0.013
Sr2 0.726 0.750 0.987
Sr3 0.115 0.750 0.409
Sr4 0.885 0.250 0.591
Tl1 0.903 0.250 0.214
Tl2 0.097 0.750 0.786
Cd1 0.591 0.524 0.301
Cd2 0.743 0.250 0.900
Cd3 0.257 0.750 0.100
Cd4 0.591 0.976 0.301
Cd5 0.677 0.750 0.581
Cd6 0.409 0.024 0.699
Cd7 0.409 0.476 0.699
Cd8 0.323 0.250 0.419
```

***

# 3
Here is NdCoRu after structural relaxation from the Alexandria database. Energies are from PBE.

Output
N(E_F) ... 7.7 states/eV per cell
Calculated volume ... 112.94 Å³ per cell
ΔH_f (0 K) ... 0.040 eV/f.u.
Uncorrected energy ... -7.04 eV/atom
Offset from the most stable computed form ... 112 meV per atom
Crystal system ... monoclinic
M_tot ... 1.731 μB per formula unit

CIF file:
```
data_NdCoRu
_chemical_formula_sum 'Nd2 Co2 Ru2'
_cell_length_a 4.208
_cell_length_b 5.571
_cell_length_c 5.615
_cell_angle_alpha 80.25
_cell_angle_beta 67.99
_cell_angle_gamma 67.81
_symmetry_space_group_name_H-M 'P 1'
_symmetry_Int_Tables_number 1
_symmetry_space_group_name_Hall 'P 1'
loop_
_atom_site_label
_atom_site_fract_x
_atom_site_fract_y
_atom_site_fract_z
Nd1 0.943 0.804 0.311
Nd2 0.057 0.196 0.689
Co1 0.668 0.396 0.269
Co2 0.332 0.604 0.731
Ru1 0.331 0.246 0.091
Ru2 0.669 0.754 0.909
```

***

# 4
Here is ThScAu2 after structural relaxation from the Alexandria database. Energies are from PBE.

Output
N(E_F) ... 2.9 states/eV per cell
Calculated volume ... 89.49 Å³ per cell
ΔH_f (0 K) ... -2.795 eV/f.u.
Uncorrected energy ... -5.78 eV/atom
Offset from the most stable computed form ... 0 meV per atom
Crystal system ... tetragonal
M_tot ... 0.000 μB per formula unit

CIF file:
```
data_ThScAu2
_chemical_formula_sum 'Th1 Sc1 Au2'
_cell_length_a 3.441
_cell_length_b 3.441
_cell_length_c 7.557
_cell_angle_alpha 90.00
_cell_angle_beta 90.00
_cell_angle_gamma 90.00
_symmetry_space_group_name_H-M 'P 1'
_symmetry_Int_Tables_number 1
_symmetry_space_group_name_Hall 'P 1'
loop_
_atom_site_label
_atom_site_fract_x
_atom_site_fract_y
_atom_site_fract_z
Sc1 0.500 0.500 0.000
Au1 0.000 0.000 0.790
Au2 0.000 0.000 0.210
Th1 0.500 0.500 0.500
```

***

# 5
Here is DyTe2Pt after structural relaxation from the Alexandria database. Energies are from PBE.

Output
N(E_F) ... 2.7 states/eV per cell
Calculated volume ... 121.84 Å³ per cell
Uncorrected energy ... -4.49 eV/atom
Raw formation energy ... -259 meV per atom
Crystal system ... trigonal
M_tot ... 0.000 μB per formula unit

CIF file:
```
data_DyTe2Pt
_chemical_formula_sum 'Dy1 Te2 Pt1'
_cell_length_a 3.949
_cell_length_b 3.949
_cell_length_c 9.307
_cell_angle_alpha 77.75
_cell_angle_beta 77.75
_cell_angle_gamma 60.00
_symmetry_space_group_name_H-M 'P 1'
_symmetry_Int_Tables_number 1
_symmetry_space_group_name_Hall 'P 1'
loop_
_atom_site_label
_atom_site_fract_x
_atom_site_fract_y
_atom_site_fract_z
Te1 0.112 0.112 0.663
Te2 0.888 0.888 0.337
Pt1 0.500 0.500 0.500
Dy1 0.000 0.000 0.000
```

***

# 6
Here is NiMo2Rh9 after structural relaxation from the Alexandria database. Energies are from PBE.

Output
N(E_F) ... 13.6 states/eV per cell
Calculated volume ... 170.81 Å³ per cell
ΔH_f (0 K) ... -1.188 eV/f.u.
Uncorrected energy ... -7.90 eV/atom
Crystal system ... triclinic
M_tot ... 0.000 μB per formula unit

CIF file:
```
data_NiMo2Rh9
_chemical_formula_sum 'Ni1 Mo2 Rh9'
_cell_length_a 4.722
_cell_length_b 6.065
_cell_length_c 6.655
_cell_angle_alpha 68.68
_cell_angle_beta 90.30
_cell_angle_gamma 75.38
_symmetry_space_group_name_H-M 'P 1'
_symmetry_Int_Tables_number 1
_symmetry_space_group_name_Hall 'P 1'
loop_
_atom_site_label
_atom_site_fract_x
_atom_site_fract_y
_atom_site_fract_z
Ni1 0.000 0.000 0.000
Mo1 0.090 0.233 0.592
Mo2 0.910 0.767 0.408
Rh1 0.410 0.246 0.915
Rh2 0.590 0.754 0.085
Rh3 0.500 0.500 0.500
Rh4 0.839 0.493 0.829
Rh5 0.673 0.997 0.669
Rh6 0.247 0.747 0.747
Rh7 0.161 0.507 0.171
Rh8 0.753 0.253 0.253
Rh9 0.327 0.003 0.331
```

***

# 7
Here is La2HfTlF after structural relaxation from the Alexandria database. Energies are from PBE.

Output
N(E_F) ... 5.6 states/eV per cell
Calculated volume ... 129.41 Å³ per cell
Uncorrected energy ... -5.59 eV/atom
Raw formation energy ... -785 meV per atom
Crystal system ... tetragonal
M_tot ... 0.000 μB per formula unit

CIF file:
```
data_La2HfTlF
_chemical_formula_sum 'La2 Hf1 Tl1 F1'
_cell_length_a 4.880
_cell_length_b 5.434
_cell_length_c 4.880
_cell_angle_alpha 90.00
_cell_angle_beta 90.00
_cell_angle_gamma 90.00
_symmetry_space_group_name_H-M 'P 1'
_symmetry_Int_Tables_number 1
_symmetry_space_group_name_Hall 'P 1'
loop_
_atom_site_label
_atom_site_fract_x
_atom_site_fract_y
_atom_site_fract_z
Tl1 0.000 0.500 0.000
F1 0.000 0.000 0.000
Hf1 0.500 0.500 0.500
La1 0.000 0.000 0.500
La2 0.500 0.000 0.000
```

***

# 8
Here is Tc2MoIBr after structural relaxation from the Alexandria database. Energies are from PBE.

Output
N(E_F) ... 6.4 states/eV per cell
Calculated volume ... 103.21 Å³ per cell
Uncorrected energy ... -5.12 eV/atom
Raw formation energy ... 1841 meV per atom
Crystal system ... tetragonal
M_tot ... 2.053 μB per formula unit

CIF file:
```
data_Tc2MoIBr
_chemical_formula_sum 'Tc2 Mo1 I1 Br1'
_cell_length_a 4.666
_cell_length_b 4.742
_cell_length_c 4.666
_cell_angle_alpha 90.00
_cell_angle_beta 90.00
_cell_angle_gamma 90.00
_symmetry_space_group_name_H-M 'P 1'
_symmetry_Int_Tables_number 1
_symmetry_space_group_name_Hall 'P 1'
loop_
_atom_site_label
_atom_site_fract_x
_atom_site_fract_y
_atom_site_fract_z
I1 0.500 0.500 0.500
Mo1 0.000 0.500 0.000
Tc1 0.000 0.000 0.500
Tc2 0.500 0.000 0.000
Br1 0.000 0.000 0.000
```